Hf2SnPt | PBE | optimized geometry

Cell: 4.300 4.300 4.239 Å, 90.00 90.00 90.00°
Space group P4/mmm (No. 123)
Unique sites:
Hf: 0.000 0.500 0.000
Sn: 0.000 0.000 0.500
Pt: 0.500 0.500 0.500

- E_tot: -32.288 eV for the cell shown
- D(E_F): 1.16 states/eV per atom
- DFT formation energy: -584.3 meV per atom

ScAlN2 | PBE | optimized geometry

Cell: 3.1757 3.1757 17.5022 Å, 90.00 90.00 120.00°
Space group R-3m (No. 166, hexagonal axes)
Unique sites:
Sc: 0.0000 0.0000 0.0000
Al: 0.0000 0.0000 0.5000
N: 0.0000 0.0000 0.1129

- E_tot: -83.297 eV for the cell shown
- D(E_F): 1.06 states/eV per atom
- Energy relative to the elements, uncorrected: -0.260 eV per atom

Tc3SnN | PBE | optimized geometry

Cell: 7.2170 7.2170 5.6144 Å, 90.00 90.00 120.00°
Space group R3m (No. 160, hexagonal axes)
Unique sites:
Tc: 0.2091 0.4182 0.0000
Sn: 0.0000 0.0000 0.9106
N: 0.0000 0.0000 0.5426

- Energy above the most stable polymorph in this dataset: 669.8 meV/atom
- E_tot: -119.592 eV for the cell shown
- D(E_F): 0.61 states/eV per atom
- Energy relative to the elements, uncorrected: 0.712 eV per atom

Y2SiW | PBE | optimized geometry

Cell: 4.184 4.033 10.996 Å, 90.00 90.00 90.00°
Space group Amm2 (No. 38)
Unique sites:
Y: 0.000 0.000 0.000
Y: 0.500 0.000 0.293
Si: 0.500 0.000 0.585
W: 0.000 0.000 0.708

- E_tot: -63.571 eV for the cell shown
- D(E_F): 0.64 states/eV per atom
- Energy relative to the elements, uncorrected: -0.120 eV per atom

LiNi2Ru | PBE | optimized geometry

Cell: 2.6004 2.6004 25.4185 Å, 90.00 90.00 120.00°
Space group R-3m (No. 166, hexagonal axes)
Unique sites:
Li: 0.0000 0.0000 0.0000
Ni: 0.0000 0.0000 0.2492
Ru: 0.0000 0.0000 0.5000

- Energy above the most stable polymorph in this dataset: 81.9 meV/atom
- E_tot: -66.872 eV for the cell shown
- D(E_F): 1.42 states/eV per atom
- DFT formation energy: 115.4 meV per atom

AcPm2PuP4 | PBE | optimized geometry

Cell: 7.244 4.186 7.246 Å, 90.00 109.41 90.00°
Space group P2/m (No. 10)
Unique sites:
Ac: 0.000 0.000 0.000
Pm: 0.000 0.500 0.500
Pm: 0.500 0.000 0.500
Pu: 0.500 0.500 0.000
P: 0.264 0.000 0.753
P: 0.265 0.500 0.257

- E_tot: -60.589 eV for the cell shown
- D(E_F): 1.71 states/eV per atom
- DFT formation energy: -1375.9 meV per atom

CsBeCu3 | PBE | optimized geometry

Cell: 4.642 4.642 4.642 Å, 90.00 90.00 90.00°
Space group Pm-3m (No. 221)
Unique sites:
Cs: 0.000 0.000 0.000
Be: 0.500 0.500 0.500
Cu: 0.000 0.500 0.500

- Energy above the most stable polymorph in this dataset: 0.0 meV/atom
- E_tot: -13.676 eV for the cell shown
- D(E_F): 0.37 states/eV per atom
- DFT formation energy: 638.4 meV per atom

PaCuSn2 | PBE | optimized geometry

Cell: 3.2441 3.2441 31.7210 Å, 90.00 90.00 120.00°
Space group R-3m (No. 166, hexagonal axes)
Unique sites:
Pa: 0.0000 0.0000 0.0000
Cu: 0.0000 0.0000 0.5000
Sn: 0.0000 0.0000 0.4201

- Energy above the most stable polymorph in this dataset: 354.6 meV/atom
- E_tot: -63.471 eV for the cell shown
- D(E_F): 1.09 states/eV per atom
- DFT formation energy: 110.2 meV per atom

Pr2HoCd3 | PBE | optimized geometry

Cell: 3.800 3.800 11.695 Å, 90.00 90.00 90.00°
Space group P4/mmm (No. 123)
Unique sites:
Pr: 0.000 0.000 0.172
Ho: 0.000 0.000 0.500
Cd: 0.500 0.500 0.000
Cd: 0.500 0.500 0.349

- E_tot: -18.756 eV for the cell shown
- D(E_F): 1.16 states/eV per atom
- DFT formation energy: -312.3 meV per atom

PrNd2Tl2Zn2 | PBE | optimized geometry

Cell: 4.8170 4.8170 28.3775 Å, 90.00 90.00 120.00°
Space group R-3m (No. 166, hexagonal axes)
Unique sites:
Pr: 0.0000 0.0000 0.0000
Nd: 0.0000 0.0000 0.1295
Tl: 0.0000 0.0000 0.2663
Zn: 0.0000 0.0000 0.4119

- E_tot: -68.982 eV for the cell shown
- D(E_F): 0.55 states/eV per atom
- DFT formation energy: -199.8 meV per atom

In15Bi4Pb | PBE | optimized geometry

Cell: 4.843 4.843 24.802 Å, 90.00 90.00 90.00°
Space group P4/mmm (No. 123)
Unique sites:
In: 0.000 0.000 0.000
In: 0.000 0.000 0.200
In: 0.000 0.000 0.400
In: 0.000 0.500 0.099
In: 0.000 0.500 0.300
In: 0.000 0.500 0.500
Bi: 0.500 0.500 0.198
Bi: 0.500 0.500 0.400
Pb: 0.500 0.500 0.000

- E_tot: -59.824 eV for the cell shown
- D(E_F): 0.49 states/eV per atom
- DFT formation energy: 24.2 meV per atom

Pm7Ga2Os2 | PBE | optimized geometry

Cell: 8.077 11.147 7.080 Å, 90.00 90.00 90.00°
Space group Cmmm (No. 65)
Unique sites:
Pm: 0.000 0.000 0.000
Pm: 0.000 0.500 0.255
Pm: 0.250 0.250 0.260
Ga: 0.161 0.000 0.500
Os: 0.000 0.297 0.000

- E_tot: -127.097 eV for the cell shown
- D(E_F): 0.87 states/eV per atom
- DFT formation energy: -161.9 meV per atom

KV6S8 | PBE | optimized geometry

Cell: 9.1971 9.1971 3.2601 Å, 90.00 90.00 120.00°
Space group P-3 (No. 147)
Unique sites:
K: 0.0000 0.0000 0.0000
V: 0.1151 0.4897 0.2484
S: 0.0531 0.7048 0.2534
S: 0.3333 0.6667 0.7490

- Energy above the most stable polymorph in this dataset: 0.0 meV/atom
- E_tot: -104.418 eV for the cell shown
- D(E_F): 0.60 states/eV per atom
- Energy relative to the elements, uncorrected: -1.039 eV per atom

SiHgCl2 | PBE | optimized geometry

Cell: 12.607 3.266 6.829 Å, 90.00 109.00 90.00°
Space group Cm (No. 8)
Unique sites:
Si: 0.000 0.000 0.000
Hg: 0.306 0.000 0.627
Cl: 0.141 0.500 0.982
Cl: 0.486 0.000 0.257

- Energy above the most stable polymorph in this dataset: 73.1 meV/atom
- E_tot: -21.541 eV for the cell shown
- D(E_F): 0.00 states/eV per atom
- Energy relative to the elements, uncorrected: -0.338 eV per atom

KNa2ScS | PBE | optimized geometry

Cell: 5.455 5.455 5.510 Å, 90.00 90.00 90.00°
Space group P4/mmm (No. 123)
Unique sites:
K: 0.000 0.000 0.000
Na: 0.000 0.500 0.000
Sc: 0.500 0.500 0.500
S: 0.000 0.000 0.500

- E_tot: -11.800 eV for the cell shown
- D(E_F): 0.88 states/eV per atom
- Energy relative to the elements, uncorrected: 0.479 eV per atom

Na2SiHg | PBE | optimized geometry

Cell: 8.379 8.379 5.680 Å, 90.00 90.00 90.00°
Space group I-42d (No. 122)
Unique sites:
Na: 0.236 0.250 0.125
Si: 0.000 0.000 0.000
Hg: 0.000 0.000 0.500

- Energy above the most stable polymorph in this dataset: 67.6 meV/atom
- E_tot: -29.758 eV for the cell shown
- D(E_F): 0.44 states/eV per atom
- Energy relative to the elements, uncorrected: 0.231 eV per atom

Y2Ho2Ga4Ni | PBE | optimized geometry

Cell: 6.954 6.954 8.275 Å, 90.00 90.00 90.00°
Space group I4/mmm (No. 139)
Unique sites:
Y: 0.000 0.500 0.250
Ho: 0.000 0.000 0.193
Ga: 0.239 0.239 0.500
Ni: 0.000 0.000 0.500

- E_tot: -87.792 eV for the cell shown
- D(E_F): 0.77 states/eV per atom
- DFT formation energy: -436.0 meV per atom

Na3Tl3FeBr8 | PBE | optimized geometry

Cell: 8.6580 8.6580 23.1495 Å, 90.00 90.00 120.00°
Space group R-3m (No. 166, hexagonal axes)
Unique sites:
Na: 0.0000 0.5000 0.0000
Tl: 0.0000 0.5000 0.5000
Fe: 0.0000 0.0000 0.0000
Br: 0.0000 0.0000 0.2620
Br: 0.0372 0.5186 0.7318

- E_tot: -144.755 eV for the cell shown
- D(E_F): 0.49 states/eV per atom
- Energy relative to the elements, uncorrected: -1.023 eV per atom

AcU2Te4 | PBE | optimized geometry

Cell: 4.429 14.297 15.307 Å, 90.00 90.00 90.00°
Space group Cmcm (No. 63)
Unique sites:
Ac: 0.000 0.111 0.250
U: 0.000 0.363 0.060
Te: 0.000 0.000 0.000
Te: 0.000 0.273 0.625
Te: 0.000 0.438 0.250

- E_tot: -180.849 eV for the cell shown
- D(E_F): 1.78 states/eV per atom
- Energy relative to the elements, uncorrected: -0.852 eV per atom

AcPm2Lu | PBE | optimized geometry

Cell: 8.313 8.313 8.313 Å, 90.00 90.00 90.00°
Space group Fm-3m (No. 225)
Unique sites:
Ac: 0.000 0.000 0.000
Pm: 0.250 0.250 0.250
Lu: 0.000 0.000 0.500

- Energy above the most stable polymorph in this dataset: 133.7 meV/atom
- E_tot: -69.714 eV for the cell shown
- D(E_F): 2.44 states/eV per atom
- DFT formation energy: 175.5 meV per atom